1.
# CsAl2Au2, relaxed, DFT PBEsol
data_CsAl2Au2
_cell_length_a 4.447
_cell_length_b 4.447
_cell_length_c 13.835
_cell_angle_alpha 90.00
_cell_angle_beta 90.00
_cell_angle_gamma 90.00
_space_group_name_H-M_alt 'I 4/m m m'
_space_group_IT_number 139
_space_group_name_Hall '-I 4 2'
loop_
_atom_site_label
_atom_site_type_symbol
_atom_site_fract_x
_atom_site_fract_y
_atom_site_fract_z
Cs1 Cs 0.000 0.000 0.000
Al1 Al 0.000 0.500 0.250
Au1 Au 0.000 0.000 0.338
# ΔH_f (0 K)	-23	kJ per mole of atoms

2.
# ScNiB4, relaxed, DFT PBEsol
data_ScNiB4
_cell_length_a 5.757
_cell_length_b 11.183
_cell_length_c 3.202
_cell_angle_alpha 90.00
_cell_angle_beta 90.00
_cell_angle_gamma 90.00
_space_group_name_H-M_alt 'P b a m'
_space_group_IT_number 55
_space_group_name_Hall '-P 2 2ab'
loop_
_atom_site_label
_atom_site_type_symbol
_atom_site_fract_x
_atom_site_fract_y
_atom_site_fract_z
Sc1 Sc 0.127 0.151 0.000
Ni1 Ni 0.135 0.412 0.000
B1 B 0.021 0.694 0.500
B2 B 0.116 0.549 0.500
B3 B 0.134 0.967 0.500
B4 B 0.211 0.813 0.500
# ΔH_f (0 K)	-60	kJ per mole of atoms

3.
# SiTcW2, relaxed, DFT PBEsol
data_SiTcW2
_cell_length_a 2.792
_cell_length_b 4.051
_cell_length_c 5.127
_cell_angle_alpha 90.00
_cell_angle_beta 93.11
_cell_angle_gamma 90.00
_space_group_name_H-M_alt 'P 1 2/m 1'
_space_group_IT_number 10
_space_group_name_Hall '-P 2y'
loop_
_atom_site_label
_atom_site_type_symbol
_atom_site_fract_x
_atom_site_fract_y
_atom_site_fract_z
Si1 Si 0.000 0.000 0.000
Tc1 Tc 0.000 0.000 0.500
W1 W 0.473 0.500 0.245
# VASP energy	-11.182	eV/atom

4.
# SrCaIn, relaxed, DFT PBEsol
data_SrCaIn
_cell_length_a 3.914
_cell_length_b 3.914
_cell_length_c 13.691
_cell_angle_alpha 90.00
_cell_angle_beta 90.00
_cell_angle_gamma 90.00
_space_group_name_H-M_alt 'I 4 m m'
_space_group_IT_number 107
_space_group_name_Hall 'I 4 -2'
loop_
_atom_site_label
_atom_site_type_symbol
_atom_site_fract_x
_atom_site_fract_y
_atom_site_fract_z
Sr1 Sr 0.000 0.000 0.000
Ca1 Ca 0.000 0.000 0.278
In1 In 0.000 0.000 0.650
# ΔH_f (0 K)	-32	kJ per mole of atoms

5.
# CdIn3H, relaxed, DFT PBEsol
data_CdIn3H
_cell_length_a 4.668
_cell_length_b 4.668
_cell_length_c 4.668
_cell_angle_alpha 90.00
_cell_angle_beta 90.00
_cell_angle_gamma 90.00
_space_group_name_H-M_alt 'P m -3 m'
_space_group_IT_number 221
_space_group_name_Hall '-P 4 2 3'
loop_
_atom_site_label
_atom_site_type_symbol
_atom_site_fract_x
_atom_site_fract_y
_atom_site_fract_z
Cd1 Cd 0.000 0.000 0.000
In1 In 0.000 0.500 0.500
H1 H 0.500 0.500 0.500
# VASP energy	-2.486	eV/atom

6.
# EuSiPd, relaxed, DFT PBEsol
data_EuSiPd
_cell_length_a 6.351
_cell_length_b 6.351
_cell_length_c 6.351
_cell_angle_alpha 90.00
_cell_angle_beta 90.00
_cell_angle_gamma 90.00
_space_group_name_H-M_alt 'P 21 3'
_space_group_IT_number 198
_space_group_name_Hall 'P 2ac 2ab 3'
loop_
_atom_site_label
_atom_site_type_symbol
_atom_site_fract_x
_atom_site_fract_y
_atom_site_fract_z
Eu1 Eu 0.122 0.122 0.122
Si1 Si 0.171 0.329 0.671
Pd1 Pd 0.084 0.584 0.916
# VASP energy	-8.252	eV/atom

7.
# TcBN3, relaxed, DFT PBEsol
data_TcBN3
_cell_length_a 3.333
_cell_length_b 3.333
_cell_length_c 3.333
_cell_angle_alpha 90.00
_cell_angle_beta 90.00
_cell_angle_gamma 90.00
_space_group_name_H-M_alt 'P m -3 m'
_space_group_IT_number 221
_space_group_name_Hall '-P 4 2 3'
loop_
_atom_site_label
_atom_site_type_symbol
_atom_site_fract_x
_atom_site_fract_y
_atom_site_fract_z
Tc1 Tc 0.000 0.000 0.000
B1 B 0.500 0.500 0.500
N1 N 0.000 0.500 0.500
# VASP energy	-7.661	eV/atom

8.
# TbAl3, relaxed, DFT PBEsol
data_TbAl3
_cell_length_a 6.2039
_cell_length_b 6.2039
_cell_length_c 4.6049
_cell_angle_alpha 90.00
_cell_angle_beta 90.00
_cell_angle_gamma 120.00
_space_group_name_H-M_alt 'P 63/m m c'
_space_group_IT_number 194
_space_group_name_Hall '-P 6c 2c'
loop_
_atom_site_label
_atom_site_type_symbol
_atom_site_fract_x
_atom_site_fract_y
_atom_site_fract_z
Tb1 Tb 0.3333 0.6667 0.2500
Al1 Al 0.1482 0.2964 0.7500
# ΔH_f (0 K)	-43	kJ per mole of atoms

9.
# YAs2RuBr, relaxed, DFT PBEsol
data_YAs2RuBr
_cell_length_a 5.354
_cell_length_b 5.354
_cell_length_c 5.240
_cell_angle_alpha 90.00
_cell_angle_beta 90.00
_cell_angle_gamma 90.00
_space_group_name_H-M_alt 'P 4/m m m'
_space_group_IT_number 123
_space_group_name_Hall '-P 4 2'
loop_
_atom_site_label
_atom_site_type_symbol
_atom_site_fract_x
_atom_site_fract_y
_atom_site_fract_z
Y1 Y 0.000 0.000 0.000
As1 As 0.000 0.500 0.000
Ru1 Ru 0.500 0.500 0.500
Br1 Br 0.000 0.000 0.500
# VASP energy	-4.818	eV/atom

10.
# Na3ZnPCO7, relaxed, DFT PBEsol
data_Na3ZnPCO7
_cell_length_a 5.238
_cell_length_b 6.510
_cell_length_c 8.901
_cell_angle_alpha 90.00
_cell_angle_beta 90.68
_cell_angle_gamma 90.00
_space_group_name_H-M_alt 'P 1 21/m 1'
_space_group_IT_number 11
_space_group_name_Hall '-P 2yb'
loop_
_atom_site_label
_atom_site_type_symbol
_atom_site_fract_x
_atom_site_fract_y
_atom_site_fract_z
Na1 Na 0.000 0.000 0.000
Na2 Na 0.062 0.250 0.335
Na3 Na 0.500 0.000 0.500
Zn1 Zn 0.474 0.750 0.202
P1 P 0.483 0.750 0.846
C1 C 0.002 0.750 0.343
O1 O 0.072 0.750 0.205
O2 O 0.168 0.750 0.452
O3 O 0.194 0.750 0.865
O4 O 0.242 0.250 0.624
O5 O 0.375 0.250 0.999
O6 O 0.425 0.061 0.247
# polymorph energy (0 for the lowest one)	0.009	eV/atom

11.
# SrBAs2Br, relaxed, DFT PBEsol
data_SrBAs2Br
_cell_length_a 4.292
_cell_length_b 4.292
_cell_length_c 6.117
_cell_angle_alpha 90.00
_cell_angle_beta 90.00
_cell_angle_gamma 90.00
_space_group_name_H-M_alt 'P 4/m m m'
_space_group_IT_number 123
_space_group_name_Hall '-P 4 2'
loop_
_atom_site_label
_atom_site_type_symbol
_atom_site_fract_x
_atom_site_fract_y
_atom_site_fract_z
Sr1 Sr 0.000 0.000 0.000
B1 B 0.500 0.500 0.500
As1 As 0.000 0.500 0.500
Br1 Br 0.500 0.500 0.000
# VASP energy	-4.333	eV/atom

12.
# K2CaPrO4, relaxed, DFT PBEsol
data_K2CaPrO4
_cell_length_a 6.074
_cell_length_b 3.602
_cell_length_c 6.494
_cell_angle_alpha 90.00
_cell_angle_beta 107.60
_cell_angle_gamma 90.00
_space_group_name_H-M_alt 'P 1 2/m 1'
_space_group_IT_number 10
_space_group_name_Hall '-P 2y'
loop_
_atom_site_label
_atom_site_type_symbol
_atom_site_fract_x
_atom_site_fract_y
_atom_site_fract_z
K1 K 0.000 0.000 0.000
K2 K 0.500 0.500 0.000
Ca1 Ca 0.000 0.500 0.500
Pr1 Pr 0.500 0.000 0.500
O1 O 0.237 0.000 0.697
O2 O 0.268 0.500 0.302
# VASP energy	-6.036	eV/atom

13.
# TaZnTe2I, relaxed, DFT PBEsol
data_TaZnTe2I
_cell_length_a 5.097
_cell_length_b 5.097
_cell_length_c 5.235
_cell_angle_alpha 90.00
_cell_angle_beta 90.00
_cell_angle_gamma 90.00
_space_group_name_H-M_alt 'P 4/m m m'
_space_group_IT_number 123
_space_group_name_Hall '-P 4 2'
loop_
_atom_site_label
_atom_site_type_symbol
_atom_site_fract_x
_atom_site_fract_y
_atom_site_fract_z
Ta1 Ta 0.000 0.000 0.000
Zn1 Zn 0.500 0.500 0.500
Te1 Te 0.000 0.500 0.500
I1 I 0.500 0.500 0.000
# VASP energy	-3.546	eV/atom

14.
# CdInP2, relaxed, DFT PBEsol
data_CdInP2
_cell_length_a 3.2291
_cell_length_b 3.2291
_cell_length_c 27.2519
_cell_angle_alpha 90.00
_cell_angle_beta 90.00
_cell_angle_gamma 120.00
_space_group_name_H-M_alt 'R 3 m'
_space_group_IT_number 160
_space_group_name_Hall 'R 3 -2"'
loop_
_atom_site_label
_atom_site_type_symbol
_atom_site_fract_x
_atom_site_fract_y
_atom_site_fract_z
Cd1 Cd 0.0000 0.0000 0.0000
In1 In 0.0000 0.0000 0.7642
P1 P 0.0000 0.0000 0.2436
P2 P 0.0000 0.0000 0.5304
# ΔH_f (0 K)	6	kJ per mole of atoms

15.
# TlAg3, relaxed, DFT PBEsol
data_TlAg3
_cell_length_a 4.158
_cell_length_b 4.158
_cell_length_c 8.501
_cell_angle_alpha 90.00
_cell_angle_beta 90.00
_cell_angle_gamma 90.00
_space_group_name_H-M_alt 'I 4/m m m'
_space_group_IT_number 139
_space_group_name_Hall '-I 4 2'
loop_
_atom_site_label
_atom_site_type_symbol
_atom_site_fract_x
_atom_site_fract_y
_atom_site_fract_z
Tl1 Tl 0.000 0.000 0.000
Ag1 Ag 0.000 0.000 0.500
Ag2 Ag 0.000 0.500 0.250
# ΔH_f (0 K)	7	kJ per mole of atoms

16.
# TbSi3Rh, relaxed, DFT PBEsol
data_TbSi3Rh
_cell_length_a 4.136
_cell_length_b 4.136
_cell_length_c 9.700
_cell_angle_alpha 90.00
_cell_angle_beta 90.00
_cell_angle_gamma 90.00
_space_group_name_H-M_alt 'I 4 m m'
_space_group_IT_number 107
_space_group_name_Hall 'I 4 -2'
loop_
_atom_site_label
_atom_site_type_symbol
_atom_site_fract_x
_atom_site_fract_y
_atom_site_fract_z
Tb1 Tb 0.000 0.000 0.000
Si1 Si 0.000 0.000 0.583
Si2 Si 0.000 0.500 0.234
Rh1 Rh 0.000 0.000 0.346
# VASP energy	-6.938	eV/atom

17.
# Cu2Rh3, relaxed, DFT PBEsol
data_Cu2Rh3
_cell_length_a 2.6410
_cell_length_b 2.6410
_cell_length_c 31.8002
_cell_angle_alpha 90.00
_cell_angle_beta 90.00
_cell_angle_gamma 120.00
_space_group_name_H-M_alt 'R -3 m'
_space_group_IT_number 166
_space_group_name_Hall '-R 3 2"'
loop_
_atom_site_label
_atom_site_type_symbol
_atom_site_fract_x
_atom_site_fract_y
_atom_site_fract_z
Cu1 Cu 0.0000 0.0000 0.1006
Rh1 Rh 0.0000 0.0000 0.2994
Rh2 Rh 0.0000 0.0000 0.5000
# ΔH_f (0 K)	6	kJ per mole of atoms

18.
# LiAgAu2, relaxed, DFT PBEsol
data_LiAgAu2
_cell_length_a 3.960
_cell_length_b 3.960
_cell_length_c 8.141
_cell_angle_alpha 90.00
_cell_angle_beta 90.00
_cell_angle_gamma 90.00
_space_group_name_H-M_alt 'I -4 m 2'
_space_group_IT_number 119
_space_group_name_Hall 'I -4 -2'
loop_
_atom_site_label
_atom_site_type_symbol
_atom_site_fract_x
_atom_site_fract_y
_atom_site_fract_z
Li1 Li 0.000 0.000 0.000
Ag1 Ag 0.000 0.500 0.750
Au1 Au 0.000 0.000 0.500
Au2 Au 0.000 0.500 0.250
# polymorph energy (0 for the lowest one)	0.011	eV/atom
# ΔH_f (0 K)	-29	kJ per mole of atoms

19.
# SrF3, relaxed, DFT PBEsol
data_SrF3
_cell_length_a 3.947
_cell_length_b 3.947
_cell_length_c 6.488
_cell_angle_alpha 90.00
_cell_angle_beta 90.00
_cell_angle_gamma 90.00
_space_group_name_H-M_alt 'I 4/m m m'
_space_group_IT_number 139
_space_group_name_Hall '-I 4 2'
loop_
_atom_site_label
_atom_site_type_symbol
_atom_site_fract_x
_atom_site_fract_y
_atom_site_fract_z
Sr1 Sr 0.000 0.000 0.000
F1 F 0.000 0.000 0.500
F2 F 0.000 0.500 0.250
# VASP energy	-4.726	eV/atom

20.
# Ca2InHg2, relaxed, DFT PBEsol
data_Ca2InHg2
_cell_length_a 7.988
_cell_length_b 7.988
_cell_length_c 4.068
_cell_angle_alpha 90.00
_cell_angle_beta 90.00
_cell_angle_gamma 90.00
_space_group_name_H-M_alt 'P 4/m b m'
_space_group_IT_number 127
_space_group_name_Hall '-P 4 2ab'
loop_
_atom_site_label
_atom_site_type_symbol
_atom_site_fract_x
_atom_site_fract_y
_atom_site_fract_z
Ca1 Ca 0.170 0.330 0.000
In1 In 0.000 0.000 0.500
Hg1 Hg 0.130 0.630 0.500
# ΔH_f (0 K)	-51	kJ per mole of atoms